First-principles (GGA-PBE) data for a relaxed LaCdIn2Hg6 crystal, as listed in Alexandria.

Cell: 8.016 8.016 9.013 Å, 109.21 109.21 83.82°
Fractional positions:
La  0.113  0.887  0.750
La  0.887  0.113  0.250
Cd  0.422  0.578  0.250
Cd  0.578  0.422  0.750
In  0.237  0.510  0.880
In  0.490  0.763  0.620
In  0.510  0.237  0.380
In  0.763  0.490  0.120
Hg  0.068  0.749  0.332
Hg  0.106  0.293  0.078
Hg  0.197  0.461  0.496
Hg  0.251  0.932  0.168
Hg  0.293  0.106  0.578
Hg  0.461  0.197  0.996
Hg  0.539  0.803  0.004
Hg  0.707  0.894  0.422
Hg  0.749  0.068  0.832
Hg  0.803  0.539  0.504
Hg  0.894  0.707  0.922
Hg  0.932  0.251  0.668

Computed properties:
Magnetic moment ... 0.0 μB/cell
Fermi-level density of states ... 3.9 states/eV/f.u.
Energy relative to the elements ... -157 meV/atom
Total DFT energy (no corrections) ... -1.47 eV per atom

---

First-principles (GGA-PBE) data for a relaxed ZrSc2Te crystal, as listed in Alexandria.

Cell: 5.022 5.022 5.022 Å, 60.00 60.00 60.00°
Fractional positions:
Zr  0.000  0.000  0.000
Sc  0.500  0.500  0.500
Sc  0.750  0.750  0.750
Te  0.250  0.250  0.250

Computed properties:
Magnetic moment ... 1.9 μB/cell
Fermi-level density of states ... 4.9 states/eV/f.u.
Total DFT energy (no corrections) ... -6.22 eV per atom

---

First-principles (GGA-PBE) data for a relaxed TaSiSn2 crystal, as listed in Alexandria.

Cell: 4.926 4.926 4.926 Å, 60.00 60.00 60.00°
Fractional positions:
Ta  0.000  0.000  0.000
Si  0.500  0.500  0.500
Sn  0.250  0.250  0.250
Sn  0.750  0.750  0.750

Computed properties:
Magnetic moment ... 1.1 μB/cell
Fermi-level density of states ... 2.6 states/eV/f.u.
Total DFT energy (no corrections) ... -5.62 eV per atom